VASP calculation (PBE) on Sm3Ho4Zn after structural relaxation.

It has space group P4/mmm (No. 123), with a = 3.564 Å, b = 3.564 Å, c = 18.843 Å, α = 90.00°, β = 90.00° and γ = 90.00°. Symmetry generates all atoms from Sm at (0.000, 0.000, 0.000), Sm at (0.000, 0.000, 0.269), Ho at (0.500, 0.500, 0.135), Ho at (0.500, 0.500, 0.406) and Zn at (0.000, 0.000, 0.500).

For the energy of formation from the pure elements, the calculation gives -0.6 eV per formula unit. Its spin magnetization is 0.00 μB/f.u.